# FeCuCl2

A relaxed FeCuCl2 crystal (PBE, the Alexandria database).

Cell: 5.1098 5.1098 5.1098 Å, 144.02 105.28 85.83°
Closest atoms and distances in Å follow each position.
Fractional coordinates of all 4 atoms:
Fe 0.7500 0.2500 0.5000  4 Cl 2.41
Cu 0.2500 0.7500 0.5000  4 Cl 2.49
Cl 0.9934 0.9934 0.0000  2 Fe 2.41, 2 Cu 2.49
Cl 0.5066 0.5066 0.0000  2 Fe 2.41, 2 Cu 2.49

E_tot	-3.981	eV/atom
space-group type	Immm (71)

---

# FeCu2Cl

A relaxed FeCu2Cl crystal (PBE, the Alexandria database).

Cell: 7.7807 7.7807 7.7807 Å, 21.92 21.92 21.92°
Closest atoms and distances in Å follow each position.
Fractional coordinates of all 4 atoms:
Fe 0.2500 0.2500 0.2500  6 Cu 2.55
Cu 0.9997 0.9997 0.9997  3 Fe 2.55, 3 Cl 2.56
Cu 0.5003 0.5003 0.5003  3 Fe 2.55, 3 Cl 2.56
Cl 0.7500 0.7500 0.7500  6 Cu 2.56

E_tot	-4.336	eV/atom
space-group type	R-3m (166)

---

Number 1: relative energy among the computed polymorphs 29.18 kJ/mol of atoms, formation energy (no corrections) 0.08 eV per atom, Fermi-level density of states 0.4801 states/eV per atom. Number 2: relative energy among the computed polymorphs 16.48 kJ/mol of atoms, formation energy (no corrections) 0.29 eV per atom, Fermi-level density of states 0.8085 states/eV per atom.